CaMn3Al: optimized geometry, PBE.

Structure (extended XYZ):
```
5
Lattice="4.7477 0.0000 0.0000 0.0000 4.7477 0.0000 0.0000 0.0000 4.7477" Properties=species:S:1:pos:R:3 pbc="T T T"
Ca 0.0000 0.0000 0.0000
Mn 0.0000 2.3738 0.0000
Mn 0.0000 0.0000 2.3738
Mn 2.3738 0.0000 0.0000
Al 2.3738 2.3738 2.3738
```

Values from the calculation:
E in eV/cell: -24.4
Symmetry: Pm-3m
E above lowest polymorph in meV per atom: 1084
Energy of formation in kJ/mol of formula units: 852